{
  "formula": "Pr3As5Rh6",
  "functional": "PBE",
  "state": "relaxed",
  "cell": [[4.0703, 0.0000, 0.0000], [0.0000, 12.7711, 0.0000], [0.0000, 0.0000, 10.0656]],
  "species": ["Pr", "Pr", "Pr", "Pr", "Pr", "Pr", "As", "As", "As", "As", "As", "As", "As", "As", "As", "As", "Rh", "Rh", "Rh", "Rh", "Rh", "Rh", "Rh", "Rh", "Rh", "Rh", "Rh", "Rh"],
  "fractional_positions": [[0.2500, 0.0898, 0.2480], [0.2500, 0.4102, 0.2480], [0.2500, 0.7500, 0.2611], [0.7500, 0.2500, 0.7389], [0.7500, 0.5898, 0.7520], [0.7500, 0.9102, 0.7520], [0.2500, 0.0782, 0.8470], [0.2500, 0.4218, 0.8470], [0.2500, 0.6298, 0.5274], [0.2500, 0.7500, 0.8698], [0.2500, 0.8702, 0.5274], [0.7500, 0.1298, 0.4726], [0.7500, 0.2500, 0.1302], [0.7500, 0.3702, 0.4726], [0.7500, 0.5782, 0.1530], [0.7500, 0.9218, 0.1530], [0.2500, 0.0550, 0.5978], [0.2500, 0.2500, 0.4887], [0.2500, 0.2500, 0.9857], [0.2500, 0.4450, 0.5978], [0.2500, 0.5822, 0.0100], [0.2500, 0.9178, 0.0100], [0.7500, 0.0822, 0.9900], [0.7500, 0.4178, 0.9900], [0.7500, 0.5550, 0.4022], [0.7500, 0.7500, 0.0143], [0.7500, 0.7500, 0.5113], [0.7500, 0.9450, 0.4022]],
  "final_energy_ev_per_cell": -189.38,
  "crystal_system": "orthorhombic",
  "ef_ev_per_atom": -0.93,
  "magnetic_moment_mub_per_atom": 0.0000
}

---

{
  "formula": "VCr2C",
  "functional": "PBE",
  "state": "relaxed",
  "cell": [[1.4479, -4.2100, 0.0000], [1.4479, 4.2100, 0.0000], [0.0000, 0.0000, 6.6057]],
  "species": ["V", "V", "Cr", "Cr", "Cr", "Cr", "C", "C"],
  "fractional_positions": [[0.0579, 0.9421, 0.7500], [0.9421, 0.0579, 0.2500], [0.3509, 0.6491, 0.5578], [0.3509, 0.6491, 0.9422], [0.6491, 0.3509, 0.0578], [0.6491, 0.3509, 0.4422], [0.2406, 0.7594, 0.2500], [0.7594, 0.2406, 0.7500]],
  "final_energy_ev_per_cell": -76.81,
  "crystal_system": "orthorhombic",
  "ef_ev_per_atom": -0.20,
  "magnetic_moment_mub_per_atom": 0.0000
}

---

{
  "formula": "Ba2Sb2Pt",
  "functional": "PBE",
  "state": "relaxed",
  "cell": [[7.5610, 0.0000, 0.0000], [0.0000, 7.5610, 0.0000], [0.0000, 0.0000, 5.4410]],
  "species": ["Ba", "Ba", "Ba", "Ba", "Sb", "Sb", "Sb", "Sb", "Pt", "Pt"],
  "fractional_positions": [[0.1702, 0.3298, 0.0000], [0.3298, 0.8298, 0.0000], [0.6702, 0.1702, 0.0000], [0.8298, 0.6702, 0.0000], [0.1461, 0.6461, 0.5000], [0.3539, 0.1461, 0.5000], [0.6461, 0.8539, 0.5000], [0.8539, 0.3539, 0.5000], [0.0000, 0.0000, 0.5000], [0.5000, 0.5000, 0.5000]],
  "final_energy_ev_per_cell": -43.32,
  "raw_formation_energy_ev_per_atom": -0.706,
  "crystal_system": "tetragonal",
  "e_above_lowest_polymorph_mev_per_atom": 239.5,
  "magnetic_moment_mub_per_atom": 0.0000
}

---

{
  "formula": "Ac6Tb3Pr",
  "functional": "PBE",
  "state": "relaxed",
  "cell": [[13.7362, 0.0000, 0.0000], [0.0000, 3.8256, 0.0000], [-2.4398, 0.0000, 15.3787]],
  "species": ["Ac", "Ac", "Ac", "Ac", "Ac", "Ac", "Ac", "Ac", "Ac", "Ac", "Ac", "Ac", "Tb", "Tb", "Tb", "Tb", "Tb", "Tb", "Pr", "Pr"],
  "fractional_positions": [[0.0097, 0.2500, 0.3039], [0.1680, 0.7500, 0.9013], [0.2557, 0.7500, 0.2964], [0.2658, 0.2500, 0.7154], [0.3156, 0.2500, 0.0900], [0.3753, 0.2500, 0.5035], [0.6247, 0.7500, 0.4965], [0.6844, 0.7500, 0.9100], [0.7342, 0.7500, 0.2846], [0.7443, 0.2500, 0.7036], [0.8320, 0.2500, 0.0987], [0.9903, 0.7500, 0.6961], [0.0609, 0.7500, 0.0948], [0.4232, 0.7500, 0.9121], [0.4998, 0.2500, 0.3031], [0.5002, 0.7500, 0.6969], [0.5768, 0.2500, 0.0879], [0.9391, 0.2500, 0.9052], [0.1268, 0.7500, 0.5072], [0.8732, 0.2500, 0.4928]],
  "final_energy_ev_per_cell": -84.75,
  "crystal_system": "monoclinic",
  "ef_ev_per_atom": 0.09,
  "magnetic_moment_mub_per_atom": 0.0000
}

---

{
  "formula": "MnPdPt",
  "functional": "PBE",
  "state": "relaxed",
  "cell": [[4.3700, 0.0000, 0.0000], [-2.1850, 3.7845, 0.0000], [0.0000, 0.0000, 2.7725]],
  "species": ["Mn", "Pd", "Pt"],
  "fractional_positions": [[0.0000, 0.0000, 0.0000], [0.3333, 0.6667, 0.2600], [0.6667, 0.3333, 0.7022]],
  "final_energy_ev_per_cell": -20.95,
  "crystal_system": "trigonal",
  "ef_ev_per_atom": -0.18,
  "e_above_lowest_polymorph_mev_per_atom": 60.7,
  "magnetic_moment_mub_per_atom": 1.4667
}

---

{
  "formula": "La2AlBr",
  "functional": "PBE",
  "state": "relaxed",
  "cell": [[0.0000, 3.8642, 3.8642], [3.8642, 0.0000, 3.8642], [3.8642, 3.8642, 0.0000]],
  "species": ["La", "La", "Al", "Br"],
  "fractional_positions": [[0.2500, 0.2500, 0.2500], [0.7500, 0.7500, 0.7500], [0.0000, 0.0000, 0.0000], [0.5000, 0.5000, 0.5000]],
  "final_energy_ev_per_cell": -17.77,
  "raw_formation_energy_ev_per_atom": -0.625,
  "crystal_system": "cubic",
  "e_above_lowest_polymorph_mev_per_atom": 201.3,
  "magnetic_moment_mub_per_atom": 0.0000
}

---

{
  "formula": "BaNi3GeP",
  "functional": "PBE",
  "state": "relaxed",
  "cell": [[3.1381, -6.0803, 0.0000], [3.1381, 6.0803, 0.0000], [0.0000, 0.0000, 5.8856]],
  "species": ["Ba", "Ba", "Ni", "Ni", "Ni", "Ni", "Ni", "Ni", "Ge", "Ge", "P", "P"],
  "fractional_positions": [[0.2450, 0.7550, 0.7500], [0.7550, 0.2450, 0.2500], [0.2431, 0.7569, 0.2500], [0.2924, 0.2924, 0.0000], [0.2924, 0.2924, 0.5000], [0.7076, 0.7076, 0.0000], [0.7076, 0.7076, 0.5000], [0.7569, 0.2431, 0.7500], [0.0530, 0.9470, 0.2500], [0.9470, 0.0530, 0.7500], [0.4182, 0.5818, 0.2500], [0.5818, 0.4182, 0.7500]],
  "final_energy_ev_per_cell": -63.66,
  "crystal_system": "orthorhombic",
  "ef_ev_per_atom": -0.42,
  "magnetic_moment_mub_per_atom": 0.0000
}

---

{
  "formula": "PrSmHo4Tm2",
  "functional": "PBE",
  "state": "relaxed",
  "cell": [[6.7858, -6.6203, 0.0000], [6.7858, 6.6203, 0.0000], [-3.3855, 0.0000, 5.8739]],
  "species": ["Pr", "Pr", "Sm", "Sm", "Ho", "Ho", "Ho", "Ho", "Ho", "Ho", "Ho", "Ho", "Tm", "Tm", "Tm", "Tm"],
  "fractional_positions": [[0.0000, 0.0000, 0.0000], [0.0000, 0.0000, 0.5000], [0.0000, 0.5000, 0.0000], [0.5000, 0.0000, 0.5000], [0.2519, 0.2576, 0.5065], [0.2549, 0.7450, 0.5012], [0.2550, 0.7451, 0.9988], [0.2576, 0.2519, 0.0065], [0.7424, 0.7481, 0.9935], [0.7450, 0.2549, 0.0012], [0.7451, 0.2550, 0.4988], [0.7481, 0.7424, 0.4935], [0.0000, 0.5000, 0.5000], [0.5000, 0.0000, 0.0000], [0.5000, 0.5000, 0.0000], [0.5000, 0.5000, 0.5000]],
  "final_energy_ev_per_cell": -66.58,
  "crystal_system": "monoclinic",
  "ef_ev_per_atom": 0.43,
  "magnetic_moment_mub_per_atom": 0.3210
}

---

{
  "formula": "Cs12Ag3Te5",
  "functional": "PBE",
  "state": "relaxed",
  "cell": [[-11.3596, 11.3596, 11.3596], [11.3596, -11.3596, 11.3596], [11.3596, 11.3596, -11.3596]],
  "species": ["Cs", "Cs", "Cs", "Cs", "Cs", "Cs", "Cs", "Cs", "Cs", "Cs", "Cs", "Cs", "Cs", "Cs", "Cs", "Cs", "Cs", "Cs", "Cs", "Cs", "Cs", "Cs", "Cs", "Cs", "Cs", "Cs", "Cs", "Cs", "Cs", "Cs", "Cs", "Cs", "Cs", "Cs", "Cs", "Cs", "Cs", "Cs", "Cs", "Cs", "Cs", "Cs", "Cs", "Cs", "Cs", "Cs", "Cs", "Cs", "Ag", "Ag", "Ag", "Ag", "Ag", "Ag", "Ag", "Ag", "Ag", "Ag", "Ag", "Ag", "Te", "Te", "Te", "Te", "Te", "Te", "Te", "Te", "Te", "Te", "Te", "Te", "Te", "Te", "Te", "Te", "Te", "Te", "Te", "Te"],
  "fractional_positions": [[0.0405, 0.2143, 0.1221], [0.0405, 0.3263, 0.9185], [0.0815, 0.6221, 0.4078], [0.0815, 0.9595, 0.6737], [0.0922, 0.7143, 0.6737], [0.0922, 0.8779, 0.4185], [0.1221, 0.0405, 0.2143], [0.1221, 0.5815, 0.9078], [0.1737, 0.2143, 0.5922], [0.1737, 0.4595, 0.5815], [0.2143, 0.1221, 0.0405], [0.2143, 0.5922, 0.1737], [0.2857, 0.3263, 0.9078], [0.2857, 0.4595, 0.3779], [0.3263, 0.9078, 0.2857], [0.3263, 0.9185, 0.0405], [0.3779, 0.2857, 0.4595], [0.3779, 0.5922, 0.9185], [0.4078, 0.0815, 0.6221], [0.4078, 0.8263, 0.7857], [0.4185, 0.0922, 0.8779], [0.4185, 0.8263, 0.5405], [0.4595, 0.3779, 0.2857], [0.4595, 0.5815, 0.1737], [0.5405, 0.4185, 0.8263], [0.5405, 0.6221, 0.7143], [0.5815, 0.1737, 0.4595], [0.5815, 0.9078, 0.1221], [0.5922, 0.1737, 0.2143], [0.5922, 0.9185, 0.3779], [0.6221, 0.4078, 0.0815], [0.6221, 0.7143, 0.5405], [0.6737, 0.0815, 0.9595], [0.6737, 0.0922, 0.7143], [0.7143, 0.5405, 0.6221], [0.7143, 0.6737, 0.0922], [0.7857, 0.4078, 0.8263], [0.7857, 0.8779, 0.9595], [0.8263, 0.5405, 0.4185], [0.8263, 0.7857, 0.4078], [0.8779, 0.4185, 0.0922], [0.8779, 0.9595, 0.7857], [0.9078, 0.1221, 0.5815], [0.9078, 0.2857, 0.3263], [0.9185, 0.0405, 0.3263], [0.9185, 0.3779, 0.5922], [0.9595, 0.6737, 0.0815], [0.9595, 0.7857, 0.8779], [0.1250, 0.2500, 0.3750], [0.1250, 0.3750, 0.7500], [0.2500, 0.3750, 0.1250], [0.2500, 0.8750, 0.6250], [0.3750, 0.1250, 0.2500], [0.3750, 0.7500, 0.1250], [0.6250, 0.2500, 0.8750], [0.6250, 0.8750, 0.7500], [0.7500, 0.1250, 0.3750], [0.7500, 0.6250, 0.8750], [0.8750, 0.6250, 0.2500], [0.8750, 0.7500, 0.6250], [0.0000, 0.0000, 0.0000], [0.0000, 0.0000, 0.5000], [0.0000, 0.5000, 0.0000], [0.0000, 0.5000, 0.5000], [0.1250, 0.7500, 0.8750], [0.1250, 0.8750, 0.2500], [0.2500, 0.1250, 0.8750], [0.2500, 0.6250, 0.3750], [0.3750, 0.2500, 0.6250], [0.3750, 0.6250, 0.7500], [0.5000, 0.0000, 0.0000], [0.5000, 0.0000, 0.5000], [0.5000, 0.5000, 0.0000], [0.5000, 0.5000, 0.5000], [0.6250, 0.3750, 0.2500], [0.6250, 0.7500, 0.3750], [0.7500, 0.3750, 0.6250], [0.7500, 0.8750, 0.1250], [0.8750, 0.1250, 0.7500], [0.8750, 0.2500, 0.1250]],
  "final_energy_ev_per_cell": -179.86,
  "raw_formation_energy_ev_per_atom": -0.523,
  "crystal_system": "cubic",
  "magnetic_moment_mub_per_atom": 0.0713
}

---

{
  "formula": "SrCa5Ac3",
  "functional": "PBE",
  "state": "relaxed",
  "cell": [[10.6181, -3.3445, 0.0000], [10.6181, 3.3445, 0.0000], [-6.0087, 0.0000, 11.8703]],
  "species": ["Sr", "Sr", "Ca", "Ca", "Ca", "Ca", "Ca", "Ca", "Ca", "Ca", "Ca", "Ca", "Ac", "Ac", "Ac", "Ac", "Ac", "Ac"],
  "fractional_positions": [[0.0231, 0.9769, 0.7500], [0.9769, 0.0231, 0.2500], [0.0486, 0.5905, 0.1480], [0.1133, 0.5686, 0.7985], [0.4095, 0.9514, 0.3520], [0.4314, 0.8867, 0.7015], [0.4847, 0.5153, 0.2500], [0.5153, 0.4847, 0.7500], [0.5686, 0.1133, 0.2985], [0.5905, 0.0486, 0.6480], [0.8867, 0.4314, 0.2015], [0.9514, 0.4095, 0.8520], [0.0000, 0.0000, 0.0000], [0.0000, 0.0000, 0.5000], [0.0820, 0.5815, 0.4732], [0.4185, 0.9180, 0.0268], [0.5815, 0.0820, 0.9732], [0.9180, 0.4185, 0.5268]],
  "final_energy_ev_per_cell": -42.68,
  "crystal_system": "monoclinic",
  "ef_ev_per_atom": 0.30,
  "magnetic_moment_mub_per_atom": 0.0000
}

---

{
  "formula": "AcYCdGa",
  "functional": "PBE",
  "state": "relaxed",
  "cell": [[0.0000, 3.8537, 3.8537], [3.8537, 0.0000, 3.8537], [3.8537, 3.8537, 0.0000]],
  "species": ["Ac", "Y", "Cd", "Ga"],
  "fractional_positions": [[0.0000, 0.0000, 0.0000], [0.5000, 0.5000, 0.5000], [0.2500, 0.2500, 0.2500], [0.7500, 0.7500, 0.7500]],
  "final_energy_ev_per_cell": -16.01,
  "crystal_system": "cubic",
  "ef_ev_per_atom": -0.37,
  "magnetic_moment_mub_per_atom": 0.0000
}

---

{
  "formula": "V5W",
  "functional": "PBE",
  "state": "relaxed",
  "cell": [[4.7724, -1.5180, 0.0000], [4.7724, 1.5180, 0.0000], [-1.8833, 0.0000, 5.7683]],
  "species": ["V", "V", "V", "V", "V", "W"],
  "fractional_positions": [[0.0000, 0.0000, 0.0000], [0.3308, 0.3308, 0.1620], [0.3347, 0.3347, 0.6708], [0.6653, 0.6653, 0.3292], [0.6692, 0.6692, 0.8380], [0.0000, 0.0000, 0.5000]],
  "final_energy_ev_per_cell": -58.71,
  "crystal_system": "monoclinic",
  "ef_ev_per_atom": -0.03,
  "e_above_lowest_polymorph_mev_per_atom": 1.4,
  "magnetic_moment_mub_per_atom": 0.0000
}

---

{
  "formula": "Lu2ScPd",
  "functional": "PBE",
  "state": "relaxed",
  "cell": [[4.9597, 0.0000, 0.0000], [0.0000, 4.9597, 0.0000], [0.0000, 0.0000, 3.7124]],
  "species": ["Lu", "Lu", "Sc", "Pd"],
  "fractional_positions": [[0.0000, 0.5000, 0.0000], [0.5000, 0.0000, 0.0000], [0.0000, 0.0000, 0.5000], [0.5000, 0.5000, 0.5000]],
  "final_energy_ev_per_cell": -21.93,
  "crystal_system": "tetragonal",
  "ef_ev_per_atom": -0.34,
  "e_above_lowest_polymorph_mev_per_atom": 99.6,
  "magnetic_moment_mub_per_atom": 0.0000
}

---

{
  "formula": "CoP2Se",
  "functional": "PBE",
  "state": "relaxed",
  "cell": [[-2.4755, 2.4755, 2.4149], [2.4755, -2.4755, 2.4149], [2.4755, 2.4755, -2.4149]],
  "species": ["Co", "P", "P", "Se"],
  "fractional_positions": [[0.0000, 0.0000, 0.0000], [0.0000, 0.5000, 0.5000], [0.5000, 0.0000, 0.5000], [0.5000, 0.5000, 0.0000]],
  "final_energy_ev_per_cell": -20.74,
  "raw_formation_energy_ev_per_atom": 0.168,
  "crystal_system": "tetragonal",
  "magnetic_moment_mub_per_atom": 0.0984
}

---

{
  "formula": "TaInCu",
  "functional": "PBE",
  "state": "relaxed",
  "cell": [[0.0000, 3.1727, 3.1727], [3.1727, 0.0000, 3.1727], [3.1727, 3.1727, 0.0000]],
  "species": ["Ta", "In", "Cu"],
  "fractional_positions": [[0.0000, 0.0000, 0.0000], [0.7500, 0.7500, 0.7500], [0.2500, 0.2500, 0.2500]],
  "final_energy_ev_per_cell": -16.02,
  "crystal_system": "cubic",
  "ef_ev_per_atom": 0.89,
  "magnetic_moment_mub_per_atom": 0.0000
}

---

{
  "formula": "CeDyIr4",
  "functional": "PBE",
  "state": "relaxed",
  "cell": [[0.0000, 3.8045, 3.8045], [3.8045, 0.0000, 3.8045], [3.8045, 3.8045, 0.0000]],
  "species": ["Ce", "Dy", "Ir", "Ir", "Ir", "Ir"],
  "fractional_positions": [[0.0000, 0.0000, 0.0000], [0.2500, 0.2500, 0.2500], [0.1259, 0.6247, 0.6247], [0.6247, 0.1259, 0.6247], [0.6247, 0.6247, 0.1259], [0.6247, 0.6247, 0.6247]],
  "final_energy_ev_per_cell": -50.69,
  "crystal_system": "cubic",
  "ef_ev_per_atom": -0.79,
  "magnetic_moment_mub_per_atom": 0.0002
}

---

{
  "formula": "TiW",
  "functional": "PBE",
  "state": "relaxed",
  "cell": [[0.0000, 3.8183, 4.8884], [3.7360, 0.0000, 4.8884], [3.7360, 3.8183, 0.0000]],
  "species": ["Ti", "Ti", "Ti", "Ti", "W", "W", "W", "W"],
  "fractional_positions": [[0.0556, 0.6944, 0.6944], [0.3056, 0.9444, 0.9444], [0.6944, 0.0556, 0.0556], [0.9444, 0.3056, 0.3056], [0.2044, 0.5456, 0.2044], [0.4544, 0.7956, 0.4544], [0.5456, 0.2044, 0.5456], [0.7956, 0.4544, 0.7956]],
  "final_energy_ev_per_cell": -77.80,
  "crystal_system": "orthorhombic",
  "ef_ev_per_atom": 0.70,
  "magnetic_moment_mub_per_atom": 0.0000
}

---

{
  "formula": "CaInBr2",
  "functional": "PBE",
  "state": "relaxed",
  "cell": [[2.4748, -2.8470, 0.0000], [2.4748, 2.8470, 0.0000], [0.0000, 0.0000, 8.7264]],
  "species": ["Ca", "In", "Br", "Br"],
  "fractional_positions": [[0.0000, 0.0000, 0.0000], [0.5000, 0.5000, 0.7346], [0.0000, 0.0000, 0.5337], [0.5000, 0.5000, 0.1665]],
  "final_energy_ev_per_cell": -11.98,
  "raw_formation_energy_ev_per_atom": -0.973,
  "crystal_system": "orthorhombic",
  "e_above_lowest_polymorph_mev_per_atom": 305.1,
  "magnetic_moment_mub_per_atom": 0.0000
}

---

{
  "formula": "TeOs2Pb",
  "functional": "PBE",
  "state": "relaxed",
  "cell": [[3.0117, 0.0000, 0.0000], [0.0000, 3.0117, 0.0000], [0.0000, 0.0000, 9.5503]],
  "species": ["Te", "Os", "Os", "Pb"],
  "fractional_positions": [[0.0000, 0.0000, 0.0000], [0.0000, 0.0000, 0.3843], [0.5000, 0.5000, 0.2233], [0.5000, 0.5000, 0.6230]],
  "final_energy_ev_per_cell": -27.07,
  "raw_formation_energy_ev_per_atom": 0.560,
  "crystal_system": "tetragonal",
  "e_above_lowest_polymorph_mev_per_atom": 79.5,
  "magnetic_moment_mub_per_atom": 0.0000
}